A plane-wave DFT calculation with PBE was carried out for a geometry-optimized Fe2HIr structure.

Computed properties:
* energy: -7.293 eV per atom
* crystal system: trigonal
* ρ: 12.574 Mg/m³

CIF file:
```
data_Fe2HIr
_symmetry_space_group_name_H-M 'R -3 m'
_symmetry_Int_Tables_number 166
_symmetry_space_group_name_Hall '-R 3 2"'
_cell_length_a 2.6729
_cell_length_b 2.6729
_cell_length_c 19.5246
_cell_angle_alpha 90.00
_cell_angle_beta 90.00
_cell_angle_gamma 120.00
loop_
_atom_site_label
_atom_site_type_symbol
_atom_site_fract_x
_atom_site_fract_y
_atom_site_fract_z
Fe1 Fe 0.0000 0.0000 0.2239
H1 H 0.0000 0.0000 0.5000
Ir1 Ir 0.0000 0.0000 0.0000
```